{"formula": "MnAgAs2", "functional": "PBE", "state": "relaxed", "lattice_angstrom": [[0.0000, 3.3124, 3.3124], [3.3124, 0.0000, 3.3124], [3.3124, 3.3124, 0.0000]], "species": ["Mn", "Ag", "As", "As"], "frac_coords": [[0.0000, 0.0000, 0.0000], [0.2500, 0.2500, 0.2500], [0.5000, 0.5000, 0.5000], [0.7500, 0.7500, 0.7500]], "delta_e_f_ev_per_atom": 0.3784, "energy_ev_per_cell": -19.81, "e_above_lowest_polymorph_mev_per_atom": 355, "crystal_system": "cubic"}